Compound: Ba5Se
Source: Alexandria via LeMat-Bulk
Functional: PBE
Structure: optimized geometry

a b c (Å): 15.125 4.361 10.366
angles (deg): 90.00 102.46 90.00
Space group Cm (No. 8)
Symmetry-distinct sites (fractional):
Ba 0.000 0.000 0.000
Ba 0.088 0.000 0.410
Ba 0.188 0.500 0.788
Ba 0.288 0.500 0.189
Ba 0.384 0.000 0.614
Se 0.334 0.000 0.943

Computed properties:
DFT total energy, eV for the cell shown: -32.7
N(E_F), states/eV per atom: 1.233


Compound: NdTh2Sc
Source: Alexandria via LeMat-Bulk
Functional: PBE
Structure: optimized geometry

a b c (Å): 7.907 7.907 7.907
angles (deg): 90.00 90.00 90.00
Space group Fm-3m (No. 225)
Symmetry-distinct sites (fractional):
Nd 0.000 0.000 0.000
Th 0.250 0.250 0.250
Sc 0.000 0.000 0.500

Computed properties:
Formation enthalpy at 0 K, meV/atom: 165
N(E_F), states/eV per atom: 1.545


Compound: TlNiRhCl6
Source: Alexandria via LeMat-Bulk
Functional: PBE
Structure: optimized geometry

a b c (Å): 6.2230 6.2230 7.2026
angles (deg): 90.00 90.00 120.00
Space group P312 (No. 149)
Symmetry-distinct sites (fractional):
Tl 0.0000 0.0000 0.0000
Ni 0.3333 0.6667 0.5000
Rh 0.6667 0.3333 0.5000
Cl 0.3676 0.0050 0.6845

Computed properties:
DFT total energy, eV for the cell shown: -32.8


Compound: BeH2RhS
Source: Alexandria via LeMat-Bulk
Functional: PBE
Structure: optimized geometry

a b c (Å): 3.276 3.276 4.924
angles (deg): 90.00 90.00 90.00
Space group P4/mmm (No. 123)
Symmetry-distinct sites (fractional):
Be 0.000 0.000 0.000
H 0.000 0.500 0.500
Rh 0.000 0.000 0.500
S 0.500 0.500 0.000

Computed properties:
DFT total energy, eV for the cell shown: -20.5
N(E_F), states/eV per atom: 0.440


Compound: Tb2YIn3Hg6
Source: Alexandria via LeMat-Bulk
Functional: PBE
Structure: optimized geometry

a b c (Å): 4.223 4.223 20.394
angles (deg): 90.00 90.00 90.00
Space group P4/mmm (No. 123)
Symmetry-distinct sites (fractional):
Tb 0.000 0.000 0.215
Y 0.000 0.000 0.500
In 0.500 0.500 0.000
In 0.500 0.500 0.278
Hg 0.000 0.500 0.387
Hg 0.500 0.500 0.136

Computed properties:
Formation enthalpy at 0 K, meV/atom: -60
N(E_F), states/eV per atom: 0.623


Compound: BaReMo2
Source: Alexandria via LeMat-Bulk
Functional: PBE
Structure: optimized geometry

a b c (Å): 3.220 4.623 5.176
angles (deg): 90.00 90.00 90.00
Space group Pmmm (No. 47)
Symmetry-distinct sites (fractional):
Ba 0.000 0.000 0.000
Re 0.500 0.000 0.500
Mo 0.000 0.500 0.500
Mo 0.500 0.500 0.000

Computed properties:
Formation enthalpy at 0 K, meV/atom: 1464
N(E_F), states/eV per atom: 1.319